Record 1
A plane-wave DFT calculation with GGA-PBE was carried out for CaTiBeIr2 after structural relaxation.

Unit cell a=3.9527 b=3.9527 c=11.1994 alpha=90.00 beta=90.00 gamma=90.00
Space group I-4m2 (No. 119)
One atom of each set of equivalent atoms:
Ca  0.0000  0.0000  0.0000 (multiplicity 2)
Ti  0.0000  0.5000  0.7500 (multiplicity 2)
Be  0.0000  0.5000  0.2500 (multiplicity 2)
Ir  0.0000  0.0000  0.3830 (multiplicity 4)

Values from the calculation:
The total magnetization comes out at 0.0 μB per formula unit. The crystal system is tetragonal. The calculated volume comes out at 175.0 Å³ per cell. As for the formation energy: -520 meV/atom. Its raw total energy is -6.789 eV per atom.

=====

Record 2
A plane-wave DFT calculation with GGA-PBE was carried out for KCaBe2 after structural relaxation.

Unit cell a=4.9881 b=4.9881 c=6.8809 alpha=90.00 beta=90.00 gamma=90.00
Space group I-4m2 (No. 119)
One atom of each set of equivalent atoms:
K  0.0000  0.0000  0.0000 (multiplicity 2)
Ca  0.0000  0.5000  0.2500 (multiplicity 2)
Be  0.0000  0.0000  0.5000 (multiplicity 2)
Be  0.0000  0.5000  0.7500 (multiplicity 2)

Values from the calculation:
The value obtained for the energy above the most stable polymorph in this dataset is 422.8 meV per atom. The total magnetization comes out at 0.0 μB per formula unit. The crystal system is tetragonal. The calculated volume comes out at 171.2 Å³ per cell. As for the formation energy: 880 meV/atom. Its raw total energy is -1.758 eV per atom.

=====

Record 3
A plane-wave DFT calculation with GGA-PBE was carried out for KCa2Be after structural relaxation.

Unit cell a=3.8394 b=3.9718 c=20.9592 alpha=90.00 beta=90.00 gamma=90.00
Space group Imm2 (No. 44)
One atom of each set of equivalent atoms:
K  0.0000  0.0000  0.0000 (multiplicity 2)
Ca  0.0000  0.0000  0.3313 (multiplicity 2)
Ca  0.0000  0.5000  0.1768 (multiplicity 2)
Be  0.0000  0.5000  0.7259 (multiplicity 2)

Values from the calculation:
The total magnetization comes out at 0.0 μB per formula unit. The crystal system is orthorhombic. The calculated volume comes out at 319.6 Å³ per cell. As for the formation energy: 398 meV/atom. Its raw total energy is -1.809 eV per atom.

=====

Record 4
A plane-wave DFT calculation with GGA-PBE was carried out for KCaBe2 after structural relaxation.

Unit cell a=10.2988 b=4.0731 c=7.9003 alpha=90.00 beta=126.86 gamma=90.00
Space group C2/m (No. 12)
One atom of each set of equivalent atoms:
K  0.0000  0.0000  0.0000 (multiplicity 2)
Ca  0.0000  0.5000  0.5000 (multiplicity 2)
Be  0.2331  0.0000  0.5155 (multiplicity 4)

Values from the calculation:
The value obtained for the energy above the most stable polymorph in this dataset is 67.6 meV per atom. The total magnetization comes out at 0.0 μB per formula unit. The crystal system is monoclinic. The calculated volume comes out at 265.2 Å³ per cell. As for the formation energy: 525 meV/atom. Its raw total energy is -2.113 eV per atom.

=====

Record 5
A plane-wave DFT calculation with GGA-PBE was carried out for KCaBe2 after structural relaxation.

Unit cell a=3.9983 b=3.9983 c=26.2030 alpha=90.00 beta=90.00 gamma=120.00
Space group R-3m (No. 166, hexagonal axes)
One atom of each set of equivalent atoms:
K  0.0000  0.0000  0.0000 (multiplicity 3)
Ca  0.0000  0.0000  0.5000 (multiplicity 3)
Be  0.0000  0.0000  0.2380 (multiplicity 6)

Values from the calculation:
The value obtained for the energy above the most stable polymorph in this dataset is 570.3 meV per atom. The total magnetization comes out at 0.0 μB per formula unit. The crystal system is trigonal. The calculated volume comes out at 362.8 Å³ per cell. As for the formation energy: 1028 meV/atom. Its raw total energy is -1.610 eV per atom.

=====

Record 6
A plane-wave DFT calculation with GGA-PBE was carried out for KCa2Be after structural relaxation.

Unit cell a=3.8526 b=6.4039 c=12.3127 alpha=90.00 beta=90.00 gamma=90.00
Space group Immm (No. 71)
One atom of each set of equivalent atoms:
K  0.0000  0.0000  0.0000 (multiplicity 2)
Ca  0.0000  0.5000  0.1843 (multiplicity 4)
Be  0.0000  0.0000  0.5000 (multiplicity 2)

Values from the calculation:
The total magnetization comes out at 0.0 μB per formula unit. The crystal system is orthorhombic. The calculated volume comes out at 303.8 Å³ per cell. As for the formation energy: 464 meV/atom. Its raw total energy is -1.743 eV per atom.

=====

Record 7
A plane-wave DFT calculation with GGA-PBE was carried out for KCa2Be after structural relaxation.

Unit cell a=10.5722 b=3.8582 c=8.4466 alpha=90.00 beta=110.34 gamma=90.00
Space group Cm (No. 8)
One atom of each set of equivalent atoms:
K  0.0000  0.0000  0.0000 (multiplicity 2)
Ca  0.1427  0.5000  0.6540 (multiplicity 2)
Ca  0.3369  0.5000  0.3709 (multiplicity 2)
Be  0.3545  0.0000  0.6356 (multiplicity 2)

Values from the calculation:
The total magnetization comes out at 0.0 μB per formula unit. The crystal system is monoclinic. The calculated volume comes out at 323.0 Å³ per cell. As for the formation energy: 450 meV/atom. Its raw total energy is -1.757 eV per atom.

=====

Record 8
A plane-wave DFT calculation with GGA-PBE was carried out for KCa2Be after structural relaxation.

Unit cell a=5.4072 b=5.4072 c=4.7147 alpha=90.00 beta=90.00 gamma=90.00
Space group P4/mmm (No. 123)
One atom of each set of equivalent atoms:
K  0.0000  0.0000  0.0000 (multiplicity 1)
Ca  0.0000  0.5000  0.5000 (multiplicity 2)
Be  0.5000  0.5000  0.0000 (multiplicity 1)

Values from the calculation:
The total magnetization comes out at 0.0 μB per formula unit. The crystal system is tetragonal. The calculated volume comes out at 137.8 Å³ per cell. As for the formation energy: 628 meV/atom. Its raw total energy is -1.579 eV per atom.

=====

Record 9
A plane-wave DFT calculation with GGA-PBE was carried out for KCaBe2 after structural relaxation.

Unit cell a=7.4079 b=7.4079 c=7.4079 alpha=90.00 beta=90.00 gamma=90.00
Space group Fm-3m (No. 225)
One atom of each set of equivalent atoms:
K  0.0000  0.0000  0.0000 (multiplicity 4)
Ca  0.0000  0.0000  0.5000 (multiplicity 4)
Be  0.2500  0.2500  0.2500 (multiplicity 8)

Values from the calculation:
The value obtained for the energy above the most stable polymorph in this dataset is 470.4 meV per atom. The total magnetization comes out at 0.0 μB per formula unit. The crystal system is cubic. The calculated volume comes out at 406.5 Å³ per cell. As for the formation energy: 928 meV/atom. Its raw total energy is -1.710 eV per atom.

=====

Record 10
A plane-wave DFT calculation with GGA-PBE was carried out for K4CaBe after structural relaxation.

Unit cell a=10.9393 b=10.9393 c=10.9393 alpha=90.00 beta=90.00 gamma=90.00
Space group F-43m (No. 216)
One atom of each set of equivalent atoms:
K  0.1244  0.1244  0.1244 (multiplicity 16)
Ca  0.0000  0.0000  0.5000 (multiplicity 4)
Be  0.2500  0.2500  0.7500 (multiplicity 4)

Values from the calculation:
The total magnetization comes out at 0.0 μB per formula unit. The crystal system is cubic. The calculated volume comes out at 1309.1 Å³ per cell. As for the formation energy: 711 meV/atom. Its raw total energy is -0.976 eV per atom.

=====

Record 11
A plane-wave DFT calculation with GGA-PBE was carried out for KCaBe2 after structural relaxation.

Unit cell a=7.5367 b=7.5037 c=3.5707 alpha=90.00 beta=90.27 gamma=90.00
Space group C2/m (No. 12)
One atom of each set of equivalent atoms:
K  0.0000  0.0000  0.0000 (multiplicity 2)
Ca  0.0000  0.5000  0.0000 (multiplicity 2)
Be  0.2500  0.2500  0.5000 (multiplicity 4)

Values from the calculation:
The value obtained for the energy above the most stable polymorph in this dataset is 424.1 meV per atom. The total magnetization comes out at 0.0 μB per formula unit. The crystal system is monoclinic. The calculated volume comes out at 201.9 Å³ per cell. As for the formation energy: 881 meV/atom. Its raw total energy is -1.757 eV per atom.

=====

Record 12
A plane-wave DFT calculation with GGA-PBE was carried out for KCaBe2 after structural relaxation.

Unit cell a=3.9657 b=3.9657 c=25.2693 alpha=90.00 beta=90.00 gamma=120.00
Space group R3m (No. 160, hexagonal axes)
One atom of each set of equivalent atoms:
K  0.0000  0.0000  0.0000 (multiplicity 3)
Ca  0.0000  0.0000  0.1755 (multiplicity 3)
Be  0.0000  0.0000  0.4352 (multiplicity 3)
Be  0.0000  0.0000  0.7685 (multiplicity 3)

Values from the calculation:
The value obtained for the energy above the most stable polymorph in this dataset is 0.0 meV per atom. The total magnetization comes out at 0.0 μB per formula unit. The crystal system is trigonal. The calculated volume comes out at 344.2 Å³ per cell. As for the formation energy: 457 meV/atom. Its raw total energy is -2.181 eV per atom.

=====

Which of these has the lowest calculated volume? number 8